The following is a PBE calculation of a relaxed structure of K3HgRh, from Alexandria.

```
data_K3HgRh
_chemical_formula_sum 'K3 Hg1 Rh1'
_cell_length_a 6.034
_cell_length_b 6.034
_cell_length_c 6.034
_cell_angle_alpha 90.00
_cell_angle_beta 90.00
_cell_angle_gamma 90.00
_symmetry_space_group_name_H-M 'P 1'
_symmetry_Int_Tables_number 1
loop_
_symmetry_equiv_pos_as_xyz
'x,y,z'
loop_
_atom_site_label
_atom_site_type_symbol
_atom_site_fract_x
_atom_site_fract_y
_atom_site_fract_z
K1 K 0.000 0.000 0.500
K2 K 0.500 0.000 0.000
K3 K 0.000 0.500 0.000
Hg1 Hg 0.500 0.500 0.500
Rh1 Rh 0.000 0.000 0.000
```

For the total magnetic moment, the calculation gives 0.000 μB/atom. Its distance to the lowest polymorph of the same formula is 0.00 kJ per mole of atoms.

=====

The following is a PBE calculation of a relaxed structure of K4HgRh, from Alexandria.

```
data_K4HgRh
_chemical_formula_sum 'K4 Hg1 Rh1'
_cell_length_a 6.846
_cell_length_b 6.846
_cell_length_c 6.846
_cell_angle_alpha 60.00
_cell_angle_beta 60.00
_cell_angle_gamma 60.00
_symmetry_space_group_name_H-M 'P 1'
_symmetry_Int_Tables_number 1
loop_
_symmetry_equiv_pos_as_xyz
'x,y,z'
loop_
_atom_site_label
_atom_site_type_symbol
_atom_site_fract_x
_atom_site_fract_y
_atom_site_fract_z
Rh1 Rh 0.750 0.750 0.750
Hg1 Hg 0.000 0.000 0.000
K1 K 0.376 0.872 0.376
K2 K 0.872 0.376 0.376
K3 K 0.376 0.376 0.872
K4 K 0.376 0.376 0.376
```

As for the total energy: -1.350 eV per atom. For the total magnetic moment, the calculation gives 0.089 μB/atom.

=====

The following is a PBE calculation of a relaxed structure of KHgRu2Rh, from Alexandria.

```
data_KHgRu2Rh
_chemical_formula_sum 'K1 Hg1 Ru2 Rh1'
_cell_length_a 4.547
_cell_length_b 5.311
_cell_length_c 4.547
_cell_angle_alpha 90.00
_cell_angle_beta 90.00
_cell_angle_gamma 90.00
_symmetry_space_group_name_H-M 'P 1'
_symmetry_Int_Tables_number 1
loop_
_symmetry_equiv_pos_as_xyz
'x,y,z'
loop_
_atom_site_label
_atom_site_type_symbol
_atom_site_fract_x
_atom_site_fract_y
_atom_site_fract_z
Ru1 Ru 0.500 0.000 0.000
Ru2 Ru 0.000 0.000 0.500
Hg1 Hg 0.000 0.500 0.000
K1 K 0.000 0.000 0.000
Rh1 Rh 0.500 0.500 0.500
```

As for the total energy: -2.832 eV per atom. For the total magnetic moment, the calculation gives 0.798 μB/atom.

=====

The following is a PBE calculation of a relaxed structure of KSnHg2Rh, from Alexandria.

```
data_KSnHg2Rh
_chemical_formula_sum 'K1 Sn1 Hg2 Rh1'
_cell_length_a 5.390
_cell_length_b 5.390
_cell_length_c 5.035
_cell_angle_alpha 90.00
_cell_angle_beta 90.00
_cell_angle_gamma 90.00
_symmetry_space_group_name_H-M 'P 1'
_symmetry_Int_Tables_number 1
loop_
_symmetry_equiv_pos_as_xyz
'x,y,z'
loop_
_atom_site_label
_atom_site_type_symbol
_atom_site_fract_x
_atom_site_fract_y
_atom_site_fract_z
K1 K 0.500 0.500 0.500
Rh1 Rh 0.000 0.000 0.000
Hg1 Hg 0.000 0.500 0.000
Hg2 Hg 0.500 0.000 0.000
Sn1 Sn 0.000 0.000 0.500
```

As for the total energy: -2.809 eV per atom. For the total magnetic moment, the calculation gives 0.000 μB/atom.

=====

The following is a PBE calculation of a relaxed structure of KSn2HgRh, from Alexandria.

```
data_KSn2HgRh
_chemical_formula_sum 'K1 Sn2 Hg1 Rh1'
_cell_length_a 5.175
_cell_length_b 5.175
_cell_length_c 5.419
_cell_angle_alpha 90.00
_cell_angle_beta 90.00
_cell_angle_gamma 90.00
_symmetry_space_group_name_H-M 'P 1'
_symmetry_Int_Tables_number 1
loop_
_symmetry_equiv_pos_as_xyz
'x,y,z'
loop_
_atom_site_label
_atom_site_type_symbol
_atom_site_fract_x
_atom_site_fract_y
_atom_site_fract_z
Hg1 Hg 0.000 0.000 0.500
Sn1 Sn 0.500 0.000 0.000
Sn2 Sn 0.000 0.500 0.000
K1 K 0.500 0.500 0.500
Rh1 Rh 0.000 0.000 0.000
```

As for the total energy: -3.484 eV per atom. For the total magnetic moment, the calculation gives 0.000 μB/atom.

=====

The following is a PBE calculation of a relaxed structure of KSr2HgRh, from Alexandria.

```
data_KSr2HgRh
_chemical_formula_sum 'K1 Sr2 Hg1 Rh1'
_cell_length_a 5.771
_cell_length_b 5.771
_cell_length_c 5.572
_cell_angle_alpha 90.00
_cell_angle_beta 90.00
_cell_angle_gamma 90.00
_symmetry_space_group_name_H-M 'P 1'
_symmetry_Int_Tables_number 1
loop_
_symmetry_equiv_pos_as_xyz
'x,y,z'
loop_
_atom_site_label
_atom_site_type_symbol
_atom_site_fract_x
_atom_site_fract_y
_atom_site_fract_z
Sr1 Sr 0.500 0.000 0.000
Sr2 Sr 0.000 0.500 0.000
Hg1 Hg 0.000 0.000 0.500
K1 K 0.500 0.500 0.500
Rh1 Rh 0.000 0.000 0.000
```

As for the total energy: -2.579 eV per atom. For the total magnetic moment, the calculation gives 0.000 μB/atom.

=====

Number 1: volume 219.7 Å³ per cell. Number 2: volume 226.9 Å³ per cell. Number 3: volume 109.8 Å³ per cell. Number 4: volume 146.3 Å³ per cell. Number 5: volume 145.1 Å³ per cell. Number 6: volume 185.6 Å³ per cell.